[1]
This record from the Alexandria database describes CrHg2Pt after structural relaxation. The functional is GGA-PBE.

Unit cell a=4.1831 b=4.2034 c=4.2034 alpha=90.00 beta=90.00 gamma=90.00
With the nearest neighbours (Å) after each atom.
Fractional coordinates of all 4 atoms:
Cr1 0.5000 0.0000 0.5000  8 Hg 2.97, 4 Pt 2.97
Hg1 0.0000 0.0000 0.0000  4 Cr 2.97, 4 Pt 2.97, 4 Hg 2.97
Hg2 0.0000 0.5000 0.5000  4 Cr 2.97, 4 Pt 2.97, 4 Hg 2.97
Pt1 0.5000 0.5000 0.0000  8 Hg 2.97, 4 Cr 2.97

Results
E_form = 0.194 eV/atom
E = -3.873 eV/atom

---

[2]
This record from the Alexandria database describes CrHg2Pt after structural relaxation. The functional is GGA-PBE.

Unit cell a=5.0705 b=5.0705 c=4.2269 alpha=65.29 beta=65.29 gamma=49.23
With the nearest neighbours (Å) after each atom.
Fractional coordinates of all 4 atoms:
Cr1 0.2500 0.2500 0.2500  8 Hg 2.94, 4 Pt 2.99
Hg1 0.0005 0.0005 0.9994  4 Cr 2.94, 4 Pt 2.94-2.95, 4 Hg 2.99
Hg2 0.4995 0.4995 0.5006  4 Cr 2.94, 4 Pt 2.94-2.95, 4 Hg 2.99
Pt1 0.7500 0.7500 0.7500  8 Hg 2.94-2.95, 4 Cr 2.99

Results
E_form = 0.149 eV/atom
E = -3.918 eV/atom

---

[3]
This record from the Alexandria database describes CrHg2Pt after structural relaxation. The functional is GGA-PBE.

Unit cell a=5.1169 b=5.1169 c=5.1169 alpha=131.50 beta=131.50 gamma=71.02
With the nearest neighbours (Å) after each atom.
Fractional coordinates of all 4 atoms:
Cr1 0.7500 0.2500 0.5000  4 Pt 2.96, 8 Hg 2.96-2.97
Hg1 0.0000 0.0000 0.0000  4 Hg 2.96, 4 Cr 2.96, 4 Pt 2.97
Hg2 0.2500 0.7500 0.5000  4 Hg 2.96, 4 Pt 2.96, 4 Cr 2.97
Pt1 0.5000 0.5000 0.0000  4 Cr 2.96, 8 Hg 2.96-2.97

Results
E_form = 0.215 eV/atom
E = -3.852 eV/atom

---

Copy entry 3 word for word.
This record from the Alexandria database describes CrHg2Pt after structural relaxation. The functional is GGA-PBE.

Unit cell a=5.1169 b=5.1169 c=5.1169 alpha=131.50 beta=131.50 gamma=71.02
With the nearest neighbours (Å) after each atom.
Fractional coordinates of all 4 atoms:
Cr1 0.7500 0.2500 0.5000  4 Pt 2.96, 8 Hg 2.96-2.97
Hg1 0.0000 0.0000 0.0000  4 Hg 2.96, 4 Cr 2.96, 4 Pt 2.97
Hg2 0.2500 0.7500 0.5000  4 Hg 2.96, 4 Pt 2.96, 4 Cr 2.97
Pt1 0.5000 0.5000 0.0000  4 Cr 2.96, 8 Hg 2.96-2.97

Results
E_form = 0.215 eV/atom
E = -3.852 eV/atom